Density functional theory data (PBE) for BaYMo2 after structural relaxation.

As for the energy above the most stable polymorph in this dataset: 757 meV/atom. For the electronic total energy, the calculation gives -6.321 eV per atom. The value obtained for the formation energy is 1.191 eV/atom.

Geometry as CIF:
```
data_BaYMo2
_chemical_formula_sum 'Ba2 Y2 Mo4'
_cell_length_a 3.595
_cell_length_b 4.942
_cell_length_c 10.221
_cell_angle_alpha 90.00
_cell_angle_beta 90.00
_cell_angle_gamma 90.00
_space_group_name_H-M_alt 'I m m m'
_space_group_IT_number 71
_space_group_name_Hall '-I 2 2'
loop_
_atom_site_label
_atom_site_type_symbol
_atom_site_fract_x
_atom_site_fract_y
_atom_site_fract_z
Ba1 Ba 0.000 0.000 0.000
Y1 Y 0.000 0.000 0.500
Mo1 Mo 0.000 0.500 0.248
```